Here is a geometry-optimized MnVNiOs structure from Alexandria. Energies are from GGA-PBE.

```
MnVNiOs
1.0
4.197 0.000 0.000
2.099 3.635 0.000
2.099 1.212 3.427
Ni Mn Os V
1 1 1 1
direct
0.250 0.250 0.250
0.500 0.500 0.500
0.750 0.750 0.750
0.000 0.000 0.000
```

Calculated values
Energy of formation from the pure elements, eV per atom: -0.04
Fermi-level density of states, states/eV/cell: 4.87